[1]
The following is a DFT calculation (GGA-PBE) of Tm6Ga2Rh after structural relaxation.

Values from the calculation:
As for the crystal system: orthorhombic. For the energy, the calculation gives -89.2 eV for the cell shown. The value obtained for the formation enthalpy at 0 K is -487 meV/atom. As for the magnetic moment: 0.00 μB/atom.

a = 8.2973 Å, b = 8.2973 Å, c = 8.2973 Å
α = 109.75°, β = 110.36°, γ = 108.31°
Sites, in units of the cell vectors:
1 Tm 0.8115 0.2658 0.0773
2 Tm 0.7152 0.0435 0.3283
3 Rh 0.0000 0.5000 0.5000
4 Tm 0.2848 0.6130 0.3283
5 Tm 0.9205 0.7476 0.1729
6 Tm 0.7152 0.3870 0.6717
7 Ga 0.6416 0.0000 0.6416
8 Ga 0.5000 0.3710 0.8710
9 Tm 0.8115 0.7342 0.5458
10 Tm 0.0795 0.2524 0.8271
11 Tm 0.5748 0.7476 0.8271
12 Tm 0.1885 0.7342 0.9227
13 Ga 0.3584 0.0000 0.3584
14 Rh 0.0000 0.0000 0.0000
15 Ga 0.5000 0.6290 0.1290
16 Tm 0.4252 0.2524 0.1729
17 Tm 0.2848 0.9565 0.6717
18 Tm 0.1885 0.2658 0.4542


[2]
The following is a DFT calculation (GGA-PBE) of Tm2Ga5Rh3 after structural relaxation.

Values from the calculation:
As for the crystal system: orthorhombic. For the energy above the most stable polymorph in this dataset, the calculation gives 0.045 eV per atom. For the energy, the calculation gives -107.2 eV for the cell shown. The value obtained for the formation enthalpy at 0 K is -747 meV/atom. As for the magnetic moment: 0.00 μB/atom.

a = 4.2663 Å, b = 6.7821 Å, c = 12.3386 Å
α = 90.00°, β = 99.96°, γ = 90.00°
Sites, in units of the cell vectors:
1 Ga 0.3985 0.4130 0.7970
2 Ga 0.2947 0.8909 0.5894
3 Ga 0.0521 0.6059 0.1043
4 Tm 0.4782 0.7792 0.9563
5 Tm 0.1763 0.7061 0.3526
6 Rh 0.7713 0.6885 0.5425
7 Ga 0.7093 0.9941 0.4187
8 Rh 0.2287 0.1885 0.4575
9 Ga 0.2907 0.4941 0.5813
10 Ga 0.1256 0.2627 0.2512
11 Tm 0.8237 0.2061 0.6474
12 Rh 0.9508 0.4934 0.9016
13 Ga 0.7053 0.3909 0.4106
14 Rh 0.3917 0.0309 0.7834
15 Ga 0.6015 0.9130 0.2030
16 Ga 0.9479 0.1059 0.8957
17 Rh 0.0492 0.9934 0.0984
18 Tm 0.5218 0.2792 0.0437
19 Ga 0.8744 0.7627 0.7488
20 Rh 0.6083 0.5309 0.2166


[3]
The following is a DFT calculation (GGA-PBE) of Tm4Ga6Rh7 after structural relaxation.

Values from the calculation:
As for the crystal system: cubic. For the energy, the calculation gives -102.0 eV for the cell shown. The value obtained for the formation enthalpy at 0 K is -854 meV/atom. As for the magnetic moment: 0.00 μB/atom.

a = 7.2408 Å, b = 7.2408 Å, c = 7.2408 Å
α = 109.47°, β = 109.47°, γ = 109.47°
Sites, in units of the cell vectors:
1 Ga 0.3153 0.0000 0.3153
2 Ga 0.3153 0.3153 0.0000
3 Rh 0.7500 0.5000 0.2500
4 Tm 0.0000 0.5000 0.0000
5 Rh 0.7500 0.2500 0.5000
6 Tm 0.5000 0.5000 0.5000
7 Ga 0.0000 0.6847 0.6847
8 Tm 0.5000 0.0000 0.0000
9 Rh 0.5000 0.2500 0.7500
10 Rh 0.0000 0.0000 0.0000
11 Ga 0.0000 0.3153 0.3153
12 Tm 0.0000 0.0000 0.5000
13 Rh 0.5000 0.7500 0.2500
14 Rh 0.2500 0.5000 0.7500
15 Rh 0.2500 0.7500 0.5000
16 Ga 0.6847 0.6847 0.0000
17 Ga 0.6847 0.0000 0.6847


[4]
The following is a DFT calculation (GGA-PBE) of TmGaRh4 after structural relaxation.

Values from the calculation:
As for the crystal system: cubic. For the energy above the most stable polymorph in this dataset, the calculation gives 0.000 eV per atom. For the energy, the calculation gives -39.6 eV for the cell shown. The value obtained for the formation enthalpy at 0 K is -447 meV/atom. As for the magnetic moment: 0.00 μB/atom.

a = 5.2093 Å, b = 5.2093 Å, c = 5.2093 Å
α = 60.00°, β = 60.00°, γ = 60.00°
Sites, in units of the cell vectors:
1 Rh 0.6257 0.6257 0.6257
2 Rh 0.1229 0.6257 0.6257
3 Tm 0.2500 0.2500 0.2500
4 Rh 0.6257 0.1229 0.6257
5 Ga 0.0000 0.0000 0.0000
6 Rh 0.6257 0.6257 0.1229


[5]
The following is a DFT calculation (GGA-PBE) of Tm3Ga8Rh4 after structural relaxation.

Values from the calculation:
As for the crystal system: cubic. For the energy, the calculation gives -155.7 eV for the cell shown. The value obtained for the formation enthalpy at 0 K is -722 meV/atom. As for the magnetic moment: 0.00 μB/atom.

a = 8.9766 Å, b = 8.9766 Å, c = 8.9766 Å
α = 60.00°, β = 60.00°, γ = 60.00°
Sites, in units of the cell vectors:
1 Tm 0.2837 0.7163 0.7163
2 Ga 0.8762 0.8762 0.3713
3 Rh 0.0000 0.5000 0.0000
4 Rh 0.5000 0.5000 0.5000
5 Tm 0.2837 0.7163 0.2837
6 Ga 0.9840 0.3387 0.3387
7 Tm 0.2837 0.2837 0.7163
8 Ga 0.6613 0.6613 0.0160
9 Tm 0.7163 0.2837 0.7163
10 Rh 0.5000 0.0000 0.0000
11 Rh 0.0000 0.5000 0.5000
12 Ga 0.8762 0.3713 0.8762
13 Ga 0.0160 0.6613 0.6613
14 Ga 0.3387 0.9840 0.3387
15 Tm 0.7163 0.7163 0.2837
16 Ga 0.8762 0.8762 0.8762
17 Ga 0.1238 0.1238 0.1238
18 Ga 0.3387 0.3387 0.3387
19 Rh 0.5000 0.0000 0.5000
20 Ga 0.3713 0.8762 0.8762
21 Rh 0.5000 0.5000 0.0000
22 Ga 0.1238 0.1238 0.6287
23 Ga 0.1238 0.6287 0.1238
24 Rh 0.0000 0.0000 0.5000
25 Ga 0.6613 0.6613 0.6613
26 Ga 0.3387 0.3387 0.9840
27 Ga 0.6287 0.1238 0.1238
28 Ga 0.6613 0.0160 0.6613
29 Tm 0.7163 0.2837 0.2837
30 Rh 0.0000 0.0000 0.0000


[6]
The following is a DFT calculation (GGA-PBE) of TmGaRh after structural relaxation.

Values from the calculation:
As for the crystal system: tetragonal. For the energy, the calculation gives -17.0 eV for the cell shown. The value obtained for the formation enthalpy at 0 K is -730 meV/atom. As for the magnetic moment: 0.00 μB/atom.

a = 3.3212 Å, b = 3.3212 Å, c = 5.5292 Å
α = 107.48°, β = 107.48°, γ = 90.00°
Sites, in units of the cell vectors:
1 Tm 0.6093 0.6093 0.2187
2 Rh 0.9307 0.9307 0.8613
3 Ga 0.3100 0.3100 0.6200